A relaxed TlAuBr2 crystal, computed with PBE.

Computed properties:
**Energy relative to the lowest polymorph listed for this composition**: 0.369 eV/atom

CIF file:
```
data_TlAuBr2
_space_group_name_H-M_alt 'F m -3 m'
_space_group_IT_number 225
_space_group_name_Hall '-F 4 2 3'
_cell_length_a 7.581
_cell_length_b 7.581
_cell_length_c 7.581
_cell_angle_alpha 90.00
_cell_angle_beta 90.00
_cell_angle_gamma 90.00
loop_
_atom_site_label
_atom_site_fract_x
_atom_site_fract_y
_atom_site_fract_z
_atom_site_occupancy
Tl1 0.000 0.000 0.000 1
Au1 0.000 0.000 0.500 1
Br1 0.250 0.250 0.250 1
```